SmAl3Hg3: optimized geometry, PBE.

uncorrected energy = -2.1259 eV per atom
formation enthalpy at 0 K = 0.282 eV/atom
total moment = 0.000 μB per formula unit

Unit cell a=7.256 b=7.256 c=7.256 alpha=90.00 beta=90.00 gamma=90.00
Fractional positions:
Hg1 0.250 0.000 0.500
Hg2 0.000 0.500 0.250
Hg3 0.500 0.750 0.000
Hg4 0.750 0.000 0.500
Hg5 0.000 0.500 0.750
Hg6 0.500 0.250 0.000
Sm1 0.500 0.500 0.500
Sm2 0.000 0.000 0.000
Al1 0.000 0.250 0.500
Al2 0.000 0.750 0.500
Al3 0.500 0.000 0.750
Al4 0.750 0.500 0.000
Al5 0.500 0.000 0.250
Al6 0.250 0.500 0.000